1.
Entry from OQMD: TaZnCuHg after structural relaxation (PBE).

```
4
Lattice="4.1273 -1.8757 -0.3214 2.1491 -1.4190 3.7448 0.5404 -4.4478 0.7625" Properties=species:S:1:pos:R:3 pbc="T T T"
Hg 3.4084 -3.8712 2.0929
Ta 1.7042 -1.9356 1.0465
Cu 5.1126 -5.8068 3.1394
Zn 0.0000 0.0000 0.0000
```

Computed properties:
As for the calculated total energy: -15.39 eV per cell. The formation energy is 0.4361 eV per atom.

2.
Entry from OQMD: LiZnBi after structural relaxation (PBE).

```
12
Lattice="-1.6386 0.4774 7.0144 4.2379 -0.2889 1.0096 0.6575 8.2248 -0.4061" Properties=species:S:1:pos:R:3 pbc="T T T"
Bi 3.3098 7.4408 2.3971
Bi 0.9825 3.4378 1.5800
Bi 2.2743 4.9754 6.0378
Li 0.6328 6.4808 3.9187
Bi -0.0530 0.9724 5.2207
Zn 0.3321 3.6961 4.3837
Li 1.4338 6.0144 0.4227
Zn 2.9246 4.7171 3.2342
Zn 2.3323 7.7944 6.6012
Zn 0.9245 0.6188 1.0167
Li 2.6240 1.9324 3.6992
Li 1.8229 2.3988 7.1951
```

Computed properties:
As for the calculated total energy: -31.24 eV per cell.

3.
Entry from OQMD: Na2Sn3PbAu2 after structural relaxation (PBE).

```
8
Lattice="4.5548 0.0000 0.0000 -2.2587 5.6345 0.0000 -0.0025 -0.0514 7.9906" Properties=species:S:1:pos:R:3 pbc="T T T"
Na 0.0112 4.8117 5.9375
Sn 0.0067 1.4522 4.3708
Au 2.2853 2.2576 5.9225
Sn 2.2864 4.0215 3.6387
Pb 2.2880 4.1520 0.3778
Au 0.0084 3.2207 2.1157
Na 2.2813 0.7689 2.0021
Sn 0.0070 1.6479 7.5973
```

Computed properties:
As for the calculated total energy: -27.02 eV per cell.

4.
Entry from OQMD: TePdPbO after structural relaxation (PBE).

```
32
Lattice="-3.3193 2.9736 5.4499 -4.9209 -5.1140 -0.2068 7.6922 -7.7626 8.9204" Properties=species:S:1:pos:R:3 pbc="T T T"
Te -5.5203 -4.5852 1.2830
O -5.2518 -3.4874 7.5875
Pd 4.3924 -7.0758 10.6868
O 4.7037 -6.4155 6.5760
Pd -3.8504 0.9576 5.8303
Pd 0.0429 -2.8746 10.2925
O -0.5661 -6.4962 12.0830
Pb -3.5204 -2.3051 6.1657
Te -3.1548 -1.9431 1.5424
Te 0.7740 -5.9222 5.8461
O -1.2855 -2.2794 5.2186
Pd 0.4990 -3.2436 6.2246
Pd 3.3024 -10.8605 8.3332
Pb 1.0084 -5.8040 10.3700
Pb -1.5564 -4.0990 3.7936
Pd -1.0471 -6.6594 7.9389
Te 4.9723 -5.3178 12.8805
Pb -0.8909 0.1005 5.9916
Pb -1.6211 -8.2096 10.5441
Pb 1.0730 -1.6934 3.6195
Te 2.6068 -7.9598 12.6212
Pb 2.9723 -7.5979 7.9979
Pb 0.3428 -10.0035 8.1719
Te 3.1395 -3.2802 6.1055
Te -1.3221 -3.9807 8.3174
O 0.0180 -3.4068 2.0805
Te -3.6876 -6.6228 8.0581
O 3.4002 -5.2882 9.7141
Pd -0.5910 -7.0284 3.8710
O -3.9483 -4.6148 4.4495
O 0.7374 -7.6235 8.9450
Pd -4.9404 -2.8272 3.4767
```

Computed properties:
As for the calculated total energy: -151.65 eV per cell. The calculation puts the energy above the most stable polymorph in this dataset at 111 meV/atom.

5.
Entry from OQMD: PrAgGeTeSe2 after structural relaxation (PBE).

```
12
Lattice="5.5232 4.2880 -1.6532 -6.4836 -2.4350 -1.9127 -4.9528 8.6209 5.8139" Properties=species:S:1:pos:R:3 pbc="T T T"
Pr -2.9567 5.2370 1.1240
Ag -7.4914 -0.1507 -0.4543
Ge -6.6953 5.9921 2.5234
Te -2.7443 8.2044 2.6088
Ag 1.5781 10.6247 2.7023
Pr -0.4802 0.9265 -1.7829
Se -5.1270 -0.8108 -1.4341
Se -6.8518 2.1914 0.5906
Ge 0.7820 4.4818 -0.2754
Te -3.1690 2.2695 -0.3608
Se -0.7863 11.2848 3.6822
Se 0.9385 8.2826 1.6575
```

Computed properties:
As for the calculated total energy: -53.06 eV per cell.

6.
Entry from OQMD: AcNb2O4 after structural relaxation (PBE).

```
14
Lattice="1.3357 1.5979 -6.3298 3.6107 -4.6718 3.0888 -6.3374 -1.2363 -1.6468" Properties=species:S:1:pos:R:3 pbc="T T T"
Nb 2.4168 -3.0592 -0.2629
Nb -1.8894 -0.5425 -5.7956
O -1.5074 -1.6519 -0.7339
O -0.9248 -0.5078 -3.8296
Ac 1.2228 -1.4465 -3.6146
O -4.1898 -2.1750 -1.4318
Nb -2.5573 -1.3414 -2.6307
O -3.6072 -1.0310 -4.5276
O 1.1573 -3.2027 -2.0490
O -2.6612 -4.1519 -0.1237
Ac 0.0000 0.0000 0.0000
O -2.0967 -3.4757 -2.8033
Nb -0.7520 -3.6773 -1.0863
O 0.5928 -3.8789 0.6306
```

Computed properties:
As for the calculated total energy: -117.50 eV per cell.

7.
Entry from OQMD: YCuSi2Os after structural relaxation (PBE).

```
5
Lattice="-2.0028 2.0028 5.0541 2.0028 -2.0028 5.0541 2.0028 2.0028 -5.0541" Properties=species:S:1:pos:R:3 pbc="T T T"
Cu 0.0000 0.0000 0.0000
Os 0.0000 0.0000 5.0541
Si 2.0028 0.0000 3.7361
Si 2.0028 0.0000 1.3179
Y 0.0000 2.0028 2.5270
```

Computed properties:
As for the calculated total energy: -35.13 eV per cell.

8.
Entry from OQMD: NdNi2GeAs after structural relaxation (PBE).

```
10
Lattice="4.1331 0.0000 0.0000 0.0000 4.1331 0.0000 0.0000 0.0000 9.7839" Properties=species:S:1:pos:R:3 pbc="T T T"
Ge 2.0665 2.0665 0.0000
Ni 0.0000 0.0000 4.8920
As 2.0665 0.0000 6.1699
Nd 0.0000 2.0665 7.3112
Ge 0.0000 0.0000 0.0000
Nd 2.0665 0.0000 2.4727
Ni 0.0000 2.0665 1.2308
Ni 2.0665 2.0665 4.8920
As 0.0000 2.0665 3.6140
Ni 2.0665 0.0000 8.5531
```

Computed properties:
As for the calculated total energy: -58.42 eV per cell.

9.
Entry from OQMD: ZrTl2I6 after structural relaxation (PBE).

```
9
Lattice="7.0552 -4.1121 0.0000 7.0552 4.1121 0.0000 -4.5875 0.0000 6.7783" Properties=species:S:1:pos:R:3 pbc="T T T"
I 1.7635 0.0000 2.2566
I 4.0828 2.0825 5.5128
Tl 9.6381 0.0000 1.4588
I 4.0828 -2.0825 5.5128
Tl -0.1153 0.0000 5.3196
I 5.4401 -2.0825 1.2655
I 7.7594 0.0000 4.5217
Zr 0.0000 0.0000 0.0000
I 5.4401 2.0825 1.2655
```

Computed properties:
As for the calculated total energy: -29.77 eV per cell. The calculation puts the energy above the most stable polymorph in this dataset at 0 meV/atom.

10.
Entry from OQMD: TlAg3SnTe4 after structural relaxation (PBE).

```
9
Lattice="6.7784 0.0000 0.0000 0.0000 6.7784 0.0000 0.0000 0.0000 6.7784" Properties=species:S:1:pos:R:3 pbc="T T T"
Ag 3.3892 0.0000 3.3892
Ag 3.3892 3.3892 0.0000
Te 1.7485 5.0299 5.0299
Tl 0.0000 0.0000 0.0000
Ag 0.0000 3.3892 3.3892
Sn 3.3892 3.3892 3.3892
Te 5.0299 1.7485 5.0299
Te 1.7485 1.7485 1.7485
Te 5.0299 5.0299 1.7485
```

Computed properties:
As for the calculated total energy: -28.08 eV per cell. The calculation puts the energy above the most stable polymorph in this dataset at 35 meV/atom.

11.
Entry from OQMD: NaLaCoSb after structural relaxation (PBE).

```
4
Lattice="0.0000 3.5370 3.5370 3.5370 0.0000 3.5370 3.5370 3.5370 0.0000" Properties=species:S:1:pos:R:3 pbc="T T T"
Co 0.0000 0.0000 0.0000
La 3.5370 3.5370 3.5370
Sb 1.7685 1.7685 1.7685
Na 5.3054 5.3054 5.3054
```

Computed properties:
As for the calculated total energy: -17.18 eV per cell. The calculation puts the energy above the most stable polymorph in this dataset at 302 meV/atom.

12.
Entry from OQMD: Zn2FeMo after structural relaxation (PBE).

```
4
Lattice="0.2083 0.9594 4.1619 1.1644 3.9252 1.2336 -2.8834 2.6400 1.7325" Properties=species:S:1:pos:R:3 pbc="T T T"
Mo -0.3777 1.8812 1.7820
Zn -0.7553 3.7623 3.5640
Zn 0.0000 0.0000 0.0000
Fe -1.1330 5.6435 5.3460
```

Computed properties:
As for the calculated total energy: -20.41 eV per cell. The formation energy is 0.3203 eV per atom. The calculation puts the energy above the most stable polymorph in this dataset at 187 meV/atom.